VASP calculation (GGA-PBE) on a relaxed structure of CrFeAs2.

Cell lengths 4.0260, 3.0035, 4.9830 Å; angles 90.00, 111.81, 90.00 degrees
With the nearest neighbours (Å) after each atom.
Space group P2/m (No. 10)
Inequivalent atoms, fractional coordinates:
Cr  0.0000  0.0000  0.0000 x1  6 As 2.49-2.51
Fe  0.5000  0.5000  0.5000 x1  6 As 2.49-2.51
As  0.0000  0.0000  0.5000 x1  2 Cr 2.49, 4 Fe 2.51
As  0.5000  0.5000  0.0000 x1  2 Fe 2.49, 4 Cr 2.51

Values from the calculation:
Its formation energy is 157 meV per atom. For the size of the total moment, the calculation gives 3.005 μB/f.u. Its calculated volume is 56 Å³/cell. The calculation puts the energy above the lowest structure with this stoichiometry at 361 meV per atom.

***

VASP calculation (GGA-PBE) on a relaxed structure of CaBeSn.

Cell lengths 4.4765, 16.2558, 4.1950 Å; angles 90.00, 90.00, 90.00 degrees
With the nearest neighbours (Å) after each atom.
Space group Cmcm (No. 63)
Inequivalent atoms, fractional coordinates:
Ca  0.0000  0.1148  0.2500 x4  1 Be 2.85
Be  0.0000  0.2899  0.2500 x4  1 Sn 2.46
Sn  0.0000  0.4414  0.2500 x4  1 Be 2.46

Values from the calculation:
Its formation energy is 246 meV per atom. For the size of the total moment, the calculation gives 0.000 μB/f.u. Its calculated volume is 305 Å³/cell.

***

VASP calculation (GGA-PBE) on a relaxed structure of KCd2Rh.

Cell lengths 3.2267, 5.5650, 11.0613 Å; angles 90.00, 90.00, 90.00 degrees
With the nearest neighbours (Å) after each atom.
Space group Immm (No. 71)
Inequivalent atoms, fractional coordinates:
K  0.0000  0.0000  0.0000 x2  4 Rh 3.22, 2 K 3.23, 4 Cd 3.54
Cd  0.0000  0.5000  0.1978 x4  2 Rh 2.72
Rh  0.0000  0.0000  0.5000 x2  4 Cd 2.72

Values from the calculation:
Its formation energy is 166 meV per atom. For the size of the total moment, the calculation gives 0.000 μB/f.u. Its calculated volume is 199 Å³/cell. The calculation puts the energy above the lowest structure with this stoichiometry at 144 meV per atom.

***

VASP calculation (GGA-PBE) on a relaxed structure of YTeMoI2.

Cell lengths 5.4162, 5.4162, 5.5381 Å; angles 90.00, 90.00, 90.00 degrees
With the nearest neighbours (Å) after each atom.
Space group P4/mmm (No. 123)
Inequivalent atoms, fractional coordinates:
Y  0.0000  0.0000  0.0000 x1  4 Te 3.83, 8 I 3.87
Te  0.5000  0.5000  0.0000 x1  2 Mo 2.77
Mo  0.5000  0.5000  0.5000 x1  4 I 2.71, 2 Te 2.77
I  0.0000  0.5000  0.5000 x2  2 Mo 2.71

Values from the calculation:
For the size of the total moment, the calculation gives 2.533 μB/f.u. Its calculated volume is 162 Å³/cell. As for the formation energy (no corrections): 5.7 kcal/mol of atoms. The calculation puts the energy above the lowest structure with this stoichiometry at 18 meV per atom.